1.
Here is an optimized crystal structure of LaTlAg2 from the Alexandria database. Energies are from PBE.

Unit cell a=4.839 b=4.839 c=4.388 alpha=90.00 beta=90.00 gamma=90.00
Fractional positions:
La (0.000, 0.000, 0.000)
Tl (0.500, 0.500, 0.000)
Ag (0.000, 0.500, 0.500)
Ag (0.500, 0.000, 0.500)

Properties
Calculated volume in A^3/atom: 25.68
M_tot in μB/cell: 0.00
DOS at the Fermi energy in states/eV per atom: 0.800


2.
Here is an optimized crystal structure of LaTlAg2 from the Alexandria database. Energies are from PBE.

Unit cell a=3.460 b=3.762 c=7.529 alpha=90.00 beta=90.00 gamma=90.00
Fractional positions:
La (0.000, 0.000, 0.000)
Tl (0.500, 0.500, 0.312)
Ag (0.000, 0.000, 0.537)
Ag (0.500, 0.500, 0.728)

Properties
Calculated volume in A^3/atom: 24.50
M_tot in μB/cell: 0.18
DOS at the Fermi energy in states/eV per atom: 0.769


no.,calculated formation energy (eV per atom)
1,-0.12
2,-0.11